(1)
The following is a DFT calculation (PBE) of HgPt2RhF after structural relaxation.

Results
calculated volume	131.95	Å³/cell
space group	No. 123
formation energy (no corrections)	7.59	eV/f.u.

Cell: 5.0590 5.1558 5.0590 Å, 90.00 90.00 90.00°
Site moments in Bohr magnetons follow the coordinates.
Sites, in units of the cell vectors:
F: 0.5000 0.5000 0.5000  -0.02
Pt: 0.0000 0.0000 0.5000  0.23
Pt: 0.5000 0.0000 0.0000  0.18
Rh: 0.0000 0.5000 0.0000  1.37
Hg: 0.0000 0.0000 0.0000  0.03

***

(2)
The following is a DFT calculation (PBE) of Tc2HgPtF after structural relaxation.

Results
calculated volume	80.90	Å³/cell
space group	No. 123
formation energy (no corrections)	3.47	eV/f.u.

Cell: 4.0542 4.9222 4.0542 Å, 90.00 90.00 90.00°
Site moments in Bohr magnetons follow the coordinates.
Sites, in units of the cell vectors:
Tc: 0.5000 0.0000 0.0000  0.81
Tc: 0.0000 0.0000 0.5000  0.71
Pt: 0.5000 0.5000 0.5000  0.00
F: 0.0000 0.0000 0.0000  0.00
Hg: 0.0000 0.5000 0.0000  0.00

***

(3)
The following is a DFT calculation (PBE) of Hg2TePtF after structural relaxation.

Results
calculated volume	131.69	Å³/cell
space group	No. 123
formation energy (no corrections)	1.23	eV/f.u.

Cell: 5.6051 4.1917 5.6051 Å, 90.00 90.00 90.00°
Sites, in units of the cell vectors:
Te: 0.0000 0.0000 0.0000
Pt: 0.5000 0.5000 0.5000
Hg: 0.5000 0.0000 0.0000
Hg: 0.0000 0.0000 0.5000
F: 0.0000 0.5000 0.0000